CaTc4Se | PBE | relaxed

Values from the calculation:
Raw total energy (eV per atom): -7.388
DOS at the Fermi energy (states/eV/cell): 3.58

abc: 5.299 5.299 5.299
angles: 60.00 60.00 60.00
Element x y z (fractional)
1 Ca 0.750 0.750 0.750
2 Tc 0.879 0.374 0.374
3 Tc 0.374 0.374 0.879
4 Tc 0.374 0.879 0.374
5 Tc 0.374 0.374 0.374
6 Se 0.000 0.000 0.000